[1]
Compound: TcAuSe
Source: the Alexandria database
Functional: PBE-GGA
Structure: relaxed

Cell and atoms, written as extended XYZ:
```
3
Lattice="4.058 0.000 0.000 -2.029 3.514 0.000 0.000 0.000 3.814" Properties=species:S:1:pos:R:3 pbc="T T T"
Tc 0.000 0.000 0.000
Au 2.029 1.171 2.149
Se 0.000 2.343 0.525
```

## Properties
space-group type	No. 156
calculated total energy	-16.173	eV/cell
formation energy without anion corrections	318	meV/atom

***

[2]
Compound: Tc2AuSe
Source: the Alexandria database
Functional: PBE-GGA
Structure: relaxed

Cell and atoms, written as extended XYZ:
```
4
Lattice="1.491 -2.353 0.000 1.491 2.353 0.000 0.000 0.000 9.915" Properties=species:S:1:pos:R:3 pbc="T T T"
Tc 0.000 0.000 0.000
Tc 1.491 0.000 2.077
Au 0.000 0.000 4.563
Se 1.491 0.000 7.706
```

## Properties
space-group type	No. 35
calculated total energy	-25.928	eV/cell
formation energy without anion corrections	391	meV/atom

***

[3]
Compound: TcAu2Se
Source: the Alexandria database
Functional: PBE-GGA
Structure: relaxed

Cell and atoms, written as extended XYZ:
```
4
Lattice="6.682 -1.462 0.000 6.682 1.462 0.000 -1.024 0.000 3.904" Properties=species:S:1:pos:R:3 pbc="T T T"
Tc 0.000 0.000 0.000
Au 3.310 0.000 3.124
Au 9.028 0.000 0.780
Se 6.169 0.000 1.952
```

## Properties
space-group type	No. 12
calculated total energy	-19.148	eV/cell
formation energy without anion corrections	314	meV/atom

***

[4]
Compound: TcAuSe2
Source: the Alexandria database
Functional: PBE-GGA
Structure: relaxed

Cell and atoms, written as extended XYZ:
```
4
Lattice="3.142 0.000 0.000 0.000 4.045 0.000 0.000 0.000 5.744" Properties=species:S:1:pos:R:3 pbc="T T T"
Tc 0.000 0.000 0.000
Au 1.571 2.023 1.984
Se 0.000 0.000 3.301
Se 1.571 2.023 5.143
```

## Properties
space-group type	No. 25
calculated total energy	-19.482	eV/cell
formation energy without anion corrections	283	meV/atom

***

[5]
Compound: Tc2AuSe
Source: the Alexandria database
Functional: PBE-GGA
Structure: relaxed

Cell and atoms, written as extended XYZ:
```
4
Lattice="1.477 0.853 8.409 -1.477 0.853 8.409 0.000 -1.706 8.409" Properties=species:S:1:pos:R:3 pbc="T T T"
Tc 0.000 0.000 6.091
Tc 0.000 0.000 19.136
Au 0.000 0.000 0.000
Se 0.000 0.000 12.613
```

## Properties
space-group type	No. 166
calculated total energy	-26.073	eV/cell
formation energy without anion corrections	355	meV/atom

***

[6]
Compound: Tc2AuSe
Source: the Alexandria database
Functional: PBE-GGA
Structure: relaxed

Cell and atoms, written as extended XYZ:
```
4
Lattice="1.448 0.836 9.423 -1.448 0.836 9.423 0.000 -1.673 9.423" Properties=species:S:1:pos:R:3 pbc="T T T"
Tc 0.000 0.000 0.000
Tc 0.000 0.000 7.361
Au 0.000 0.000 14.382
Se 0.000 0.000 20.771
```

## Properties
space-group type	No. 160
calculated total energy	-26.746	eV/cell
formation energy without anion corrections	187	meV/atom

***

[7]
Compound: Tc2AuSe
Source: the Alexandria database
Functional: PBE-GGA
Structure: relaxed

Cell and atoms, written as extended XYZ:
```
4
Lattice="3.881 -1.493 0.000 3.881 1.493 0.000 -1.056 0.000 5.702" Properties=species:S:1:pos:R:3 pbc="T T T"
Tc 1.701 0.000 1.182
Tc 5.006 0.000 4.520
Au -0.528 0.000 2.851
Se 3.881 0.000 0.000
```

## Properties
space-group type	No. 12
calculated total energy	-26.054	eV/cell
formation energy without anion corrections	360	meV/atom

***

[8]
Compound: TcAuSe2
Source: the Alexandria database
Functional: PBE-GGA
Structure: relaxed

Cell and atoms, written as extended XYZ:
```
4
Lattice="1.549 -2.432 0.000 1.549 2.432 0.000 0.000 0.000 10.320" Properties=species:S:1:pos:R:3 pbc="T T T"
Tc 0.000 0.000 0.000
Au 1.549 0.000 2.380
Se 0.000 0.000 4.959
Se 1.549 0.000 8.417
```

## Properties
space-group type	No. 35
calculated total energy	-19.156	eV/cell
formation energy without anion corrections	364	meV/atom

***

[9]
Compound: Tc2AuSe
Source: the Alexandria database
Functional: PBE-GGA
Structure: relaxed

Cell and atoms, written as extended XYZ:
```
4
Lattice="0.000 3.200 3.200 3.200 0.000 3.200 3.200 3.200 0.000" Properties=species:S:1:pos:R:3 pbc="T T T"
Tc 0.000 0.000 0.000
Tc 1.600 1.600 1.600
Au 4.800 4.800 4.800
Se 3.200 3.200 3.200
```

## Properties
space-group type	No. 216
calculated total energy	-24.910	eV/cell
formation energy without anion corrections	646	meV/atom

***

[10]
Compound: TcAuSe2
Source: the Alexandria database
Functional: PBE-GGA
Structure: relaxed

Cell and atoms, written as extended XYZ:
```
16
Lattice="6.073 0.000 0.000 0.000 3.087 0.000 0.000 0.000 16.987" Properties=species:S:1:pos:R:3 pbc="T T T"
Tc 0.722 0.772 1.676
Tc 2.314 2.315 10.169
Tc 3.759 0.772 6.818
Tc 5.350 2.315 15.311
Au 0.117 0.772 11.071
Au 2.920 2.315 2.578
Au 3.153 0.772 14.409
Au 5.956 2.315 5.916
Se 0.551 0.772 13.836
Se 1.363 2.315 16.737
Se 1.673 0.772 8.243
Se 2.485 2.315 5.342
Se 3.588 0.772 11.645
Se 4.399 2.315 8.744
Se 4.710 0.772 0.250
Se 5.521 2.315 3.151
```

## Properties
space-group type	No. 62
calculated total energy	-82.540	eV/cell
formation energy without anion corrections	-6	meV/atom

***

[11]
Compound: TcAuSe2
Source: the Alexandria database
Functional: PBE-GGA
Structure: relaxed

Cell and atoms, written as extended XYZ:
```
4
Lattice="3.519 -1.585 0.000 3.519 1.585 0.000 -2.502 0.000 7.709" Properties=species:S:1:pos:R:3 pbc="T T T"
Tc 0.000 0.000 0.000
Au 2.268 0.000 3.855
Se 2.103 0.000 1.379
Se 2.432 0.000 6.330
```

## Properties
space-group type	No. 12
calculated total energy	-20.903	eV/cell
formation energy without anion corrections	-73	meV/atom

***

[12]
Compound: TcAu2Se
Source: the Alexandria database
Functional: PBE-GGA
Structure: relaxed

Cell and atoms, written as extended XYZ:
```
4
Lattice="4.057 -1.563 0.000 4.057 1.563 0.000 -0.842 0.000 5.819" Properties=species:S:1:pos:R:3 pbc="T T T"
Tc 0.000 0.000 0.000
Au 1.505 0.000 4.165
Au 3.768 0.000 2.641
Se 5.744 0.000 0.855
```

## Properties
space-group type	No. 8
calculated total energy	-19.202	eV/cell
formation energy without anion corrections	301	meV/atom

***

[13]
Compound: TcAuSe2
Source: the Alexandria database
Functional: PBE-GGA
Structure: relaxed

Cell and atoms, written as extended XYZ:
```
4
Lattice="2.028 1.171 5.810 -2.028 1.171 5.810 0.000 -2.342 5.810" Properties=species:S:1:pos:R:3 pbc="T T T"
Tc 0.000 0.000 0.000
Au 0.000 0.000 7.735
Se 0.000 0.000 5.143
Se 0.000 0.000 14.760
```

## Properties
space-group type	No. 160
calculated total energy	-19.568	eV/cell
formation energy without anion corrections	261	meV/atom

***

[14]
Compound: Tc2AuSe
Source: the Alexandria database
Functional: PBE-GGA
Structure: relaxed

Cell and atoms, written as extended XYZ:
```
8
Lattice="-2.709 2.709 6.108 2.709 -2.709 6.108 2.709 2.709 -6.108" Properties=species:S:1:pos:R:3 pbc="T T T"
Tc 4.064 1.186 -1.527
Tc 1.186 1.355 1.527
Tc -1.355 1.523 4.581
Tc 1.523 1.355 7.635
Au 2.709 0.000 3.054
Au 0.000 0.000 6.108
Se 0.000 0.000 0.000
Se 0.000 2.709 3.054
```

## Properties
space-group type	No. 122
calculated total energy	-46.804	eV/cell
formation energy without anion corrections	1023	meV/atom

***

[15]
Compound: TcAuSe2
Source: the Alexandria database
Functional: PBE-GGA
Structure: relaxed

Cell and atoms, written as extended XYZ:
```
32
Lattice="5.370 -5.104 0.000 5.370 5.104 0.000 -2.980 0.000 13.168" Properties=species:S:1:pos:R:3 pbc="T T T"
Tc 0.174 0.380 4.263
Tc -1.315 -0.380 10.847
Tc 2.175 2.835 10.733
Tc 4.096 2.835 9.020
Tc 3.664 -2.835 4.149
Tc 5.586 -2.835 2.436
Tc 9.076 0.380 2.321
Tc 7.586 -0.380 8.905
Au -0.401 0.419 8.278
Au 1.089 -0.419 1.694
Au 3.835 0.326 1.123
Au 2.345 -0.326 7.707
Au 5.415 0.326 5.461
Au 3.925 -0.326 12.045
Au 6.671 0.419 11.475
Au 8.161 -0.419 4.891
Se 2.655 3.219 7.017
Se 2.116 1.744 3.822
Se 0.301 1.366 12.119
Se 4.625 3.444 3.292
Se 3.616 3.219 12.735
Se 1.790 -1.366 5.535
Se 3.135 0.716 9.876
Se 0.626 -1.744 10.406
Se 7.134 1.744 2.762
Se 4.625 -0.716 3.292
Se 5.970 1.366 7.633
Se 4.144 -3.219 0.433
Se 3.135 -3.444 9.876
Se 7.460 -1.366 1.049
Se 5.645 -1.744 9.346
Se 5.106 -3.219 6.151
```

## Properties
space-group type	No. 15
calculated total energy	-166.849	eV/cell
formation energy without anion corrections	-61	meV/atom

***

[16]
Compound: TcAuSe2
Source: the Alexandria database
Functional: PBE-GGA
Structure: relaxed

Cell and atoms, written as extended XYZ:
```
8
Lattice="2.646 -7.051 0.000 2.646 7.051 0.000 -2.185 0.000 4.804" Properties=species:S:1:pos:R:3 pbc="T T T"
Tc 1.007 3.537 3.603
Tc 2.099 -3.537 1.201
Au 2.099 2.487 1.201
Au 1.007 -2.487 3.603
Se -0.496 1.700 2.886
Se 0.596 -1.700 0.484
Se 2.510 1.700 4.320
Se 3.603 -1.700 1.918
```

## Properties
space-group type	No. 15
calculated total energy	-41.733	eV/cell
formation energy without anion corrections	-64	meV/atom

***

[17]
Compound: TcAu2Se
Source: the Alexandria database
Functional: PBE-GGA
Structure: relaxed

Cell and atoms, written as extended XYZ:
```
4
Lattice="3.894 0.000 0.000 0.000 3.894 0.000 0.000 0.000 4.868" Properties=species:S:1:pos:R:3 pbc="T T T"
Tc 0.000 0.000 0.000
Au 0.000 1.947 2.434
Au 1.947 0.000 2.434
Se 1.947 1.947 0.000
```

## Properties
space-group type	No. 123
calculated total energy	-18.237	eV/cell
formation energy without anion corrections	542	meV/atom

***

[18]
Compound: TcAu2Se
Source: the Alexandria database
Functional: PBE-GGA
Structure: relaxed

Cell and atoms, written as extended XYZ:
```
4
Lattice="-2.321 2.321 3.272 2.321 -2.321 3.272 2.321 2.321 -3.272" Properties=species:S:1:pos:R:3 pbc="T T T"
Tc 0.000 0.000 0.000
Au 2.321 0.000 1.636
Au 0.000 0.000 3.272
Se 0.000 2.321 1.636
```

## Properties
space-group type	No. 119
calculated total energy	-18.302	eV/cell
formation energy without anion corrections	526	meV/atom

***

[19]
Compound: TcAuSe2
Source: the Alexandria database
Functional: PBE-GGA
Structure: relaxed

Cell and atoms, written as extended XYZ:
```
4
Lattice="2.964 0.000 0.000 0.000 2.964 0.000 0.000 0.000 9.250" Properties=species:S:1:pos:R:3 pbc="T T T"
Tc 0.000 0.000 0.000
Au 1.482 1.482 2.015
Se 0.000 0.000 4.241
Se 1.482 1.482 7.823
```

## Properties
space-group type	No. 99
calculated total energy	-20.068	eV/cell
formation energy without anion corrections	136	meV/atom

***

[20]
Compound: TcAuSe2
Source: the Alexandria database
Functional: PBE-GGA
Structure: relaxed

Cell and atoms, written as extended XYZ:
```
4
Lattice="2.712 0.000 0.000 0.000 4.405 0.000 -0.086 0.000 6.341" Properties=species:S:1:pos:R:3 pbc="T T T"
Tc 0.000 0.000 0.000
Au -0.043 0.000 3.170
Se -0.004 2.203 1.420
Se 2.630 2.203 4.921
```

## Properties
space-group type	No. 10
calculated total energy	-19.010	eV/cell
formation energy without anion corrections	401	meV/atom